# TlMoO

A relaxed structure of TlMoO (PBE+U, the Alexandria database).

The structure in CIF format:
```
data_TlMoO
_chemical_formula_sum 'Tl2 Mo2 O2'
_space_group_name_H-M_alt 'P 1 21 1'
_space_group_IT_number 4
_space_group_name_Hall 'P 2yb'
_cell_length_a 3.047
_cell_length_b 5.157
_cell_length_c 7.388
_cell_angle_alpha 90.00
_cell_angle_beta 90.02
_cell_angle_gamma 90.00
loop_
_atom_site_label
_atom_site_type_symbol
_atom_site_fract_x
_atom_site_fract_y
_atom_site_fract_z
Tl1 Tl 0.249 0.000 0.126
Mo1 Mo 0.250 0.652 0.487
O1 O 0.250 0.959 0.654
```

## Properties
As for the energy above the lowest structure with this stoichiometry: 0.047 eV per atom. Its crystal system is monoclinic. The density comes out at 9.0 g/cm³.